Crystalline ScZn3Br at its relaxed geometry, computed with PBE-GGA.

Output
* total magnetic moment: 0.000 μB per cell
* energy relative to the lowest polymorph listed for this composition: 0.2369 eV per atom
* raw formation energy: 16.93 kcal/mol of atoms

a b c (Å): 5.0528 5.0528 5.0528
angles (deg): 90.00 90.00 90.00
Last column: nearest neighbours and their distance in Å.
Space group Pm-3m (No. 221)
Unique sites:
Sc 0.0000 0.0000 0.0000 x1  12 Zn 3.57
Zn 0.0000 0.5000 0.5000 x3  2 Br 2.53
Br 0.5000 0.5000 0.5000 x1  6 Zn 2.53

---

Crystalline Sc2ZnBr at its relaxed geometry, computed with PBE-GGA.

Output
* total magnetic moment: 0.000 μB per cell
* energy relative to the lowest polymorph listed for this composition: 0.0149 eV per atom
* raw formation energy: -12.43 kcal/mol of atoms

a b c (Å): 3.7030 3.7030 21.8587
angles (deg): 90.00 90.00 120.00
Last column: nearest neighbours and their distance in Å.
Space group R-3m (No. 166, hexagonal axes)
Unique sites:
Sc 0.0000 0.0000 0.2425 x6  3 Zn 2.70, 3 Br 2.92
Zn 0.0000 0.0000 0.5000 x3  6 Sc 2.70
Br 0.0000 0.0000 0.0000 x3  6 Sc 2.92

---

Crystalline Sc2ZnBr at its relaxed geometry, computed with PBE-GGA.

Output
* total magnetic moment: 0.518 μB per cell
* energy relative to the lowest polymorph listed for this composition: 0.0000 eV per atom
* raw formation energy: -12.77 kcal/mol of atoms

a b c (Å): 3.3420 3.4915 7.7390
angles (deg): 90.00 90.00 90.00
Last column: nearest neighbours and their distance in Å.
Space group Pmmm (No. 47)
Unique sites:
Sc 0.0000 0.0000 0.2040 x2  2 Br 2.84, 4 Zn 2.89, 1 Sc 3.16
Zn 0.5000 0.5000 0.0000 x1  8 Sc 2.89
Br 0.5000 0.0000 0.5000 x1  4 Sc 2.84

---

Crystalline Sc2ZnBr at its relaxed geometry, computed with PBE-GGA.

Output
* total magnetic moment: 0.002 μB per cell
* energy relative to the lowest polymorph listed for this composition: 0.1243 eV per atom
* raw formation energy: -9.91 kcal/mol of atoms

a b c (Å): 3.4001 3.7353 14.0754
angles (deg): 90.00 90.00 90.00
Last column: nearest neighbours and their distance in Å.
Space group Imm2 (No. 44)
Unique sites:
Sc 0.0000 0.0000 0.0000 x2  2 Zn 2.74, 4 Br 2.94
Sc 0.0000 0.5000 0.2786 x2  4 Zn 2.76, 2 Br 2.95
Zn 0.0000 0.5000 0.8580 x2  6 Sc 2.74-2.76
Br 0.0000 0.0000 0.6073 x2  6 Sc 2.94-2.95

---

Crystalline Sc2ZnBr at its relaxed geometry, computed with PBE-GGA.

Output
* total magnetic moment: 12.144 μB per cell
* energy relative to the lowest polymorph listed for this composition: 0.8063 eV per atom
* raw formation energy: 5.82 kcal/mol of atoms

a b c (Å): 7.1726 7.1726 7.1726
angles (deg): 90.00 90.00 90.00
Last column: nearest neighbours and their distance in Å.
Space group F-43m (No. 216)
Unique sites:
Sc 0.0000 0.0000 0.0000 x4  4 Sc 3.11, 4 Zn 3.11
Sc 0.2500 0.2500 0.2500 x4  4 Br 3.11, 4 Sc 3.11
Zn 0.2500 0.2500 0.7500 x4  4 Br 3.11, 4 Sc 3.11
Br 0.0000 0.0000 0.5000 x4  4 Zn 3.11, 4 Sc 3.11

---

Crystalline ScZn2Br6 at its relaxed geometry, computed with PBE-GGA.

Output
* total magnetic moment: 3.482 μB per cell
* raw formation energy: -23.79 kcal/mol of atoms

a b c (Å): 13.3472 11.8198 6.8839
angles (deg): 90.00 100.02 90.00
Last column: nearest neighbours and their distance in Å.
Space group C2/c (No. 15)
Unique sites:
Sc 0.0000 0.0837 0.2500 x4  6 Br 2.72-2.79
Zn 0.1846 0.4101 0.3111 x8  4 Br 2.44-2.57
Br 0.1200 0.0853 0.6242 x8  1 Zn 2.57, 2 Sc 2.79
Br 0.1209 0.2425 0.1222 x8  1 Zn 2.44, 1 Sc 2.72
Br 0.1286 0.4165 0.6300 x8  2 Zn 2.44-2.45